Ag2SbRh (GGA-PBE, relaxed); electronic total energy = -3.910 eV/atom; formation energy (no corrections) = 0.385 eV/atom
1.0
9.4978 -1.5272 -0.0184
9.4978 1.5272 -0.0184
9.2573 0.0000 2.6157
Ag Sb Rh
2 1 1
Cartesian
21.3467 0.0000 1.9485
6.9062 0.0000 0.6304
0.0000 0.0000 0.0000
14.1264 0.0000 1.2894